Run a
Here is a relaxed structure of SrTc2Pt from Alexandria. Energies are from PBE.

a b c (Å): 5.4964 5.4964 2.7041
angles (deg): 90.00 90.00 118.43
Last column: nearest neighbours and their distance in Å.
Fractional positions:
Pt (0.5000, 0.0000, 0.5000)  2 Pt 2.70, 2 Sr 2.81
Sr (0.0000, 0.5000, 0.5000)  2 Sr 2.70, 2 Pt 2.81
Tc (0.0000, 0.0000, 0.0000)  4 Tc 2.70-2.81
Tc (0.5000, 0.5000, 0.0000)  4 Tc 2.70-2.81

Properties
The calculation puts the calculated density at 11.1 g/cm³. The value obtained for the volume is 18.0 Å³ per atom.


Run b
Here is a relaxed structure of SrTc2Pt from Alexandria. Energies are from PBE.

a b c (Å): 3.3225 4.4480 5.0113
angles (deg): 90.00 90.00 90.00
Last column: nearest neighbours and their distance in Å.
Fractional positions:
Pt (0.5000, 0.0000, 0.5000)  4 Sr 2.78, 4 Tc 3.01
Sr (0.0000, 0.5000, 0.5000)  4 Pt 2.78, 4 Tc 3.01
Tc (0.0000, 0.0000, 0.0000)  4 Tc 2.78, 4 Pt 3.01
Tc (0.5000, 0.5000, 0.0000)  4 Tc 2.78, 4 Sr 3.01

Properties
The calculation puts the calculated density at 10.7 g/cm³. The value obtained for the volume is 18.5 Å³ per atom.


Run c
Here is a relaxed structure of SrTc2Pt from Alexandria. Energies are from PBE.

a b c (Å): 5.1645 2.9474 4.9148
angles (deg): 85.37 90.00 90.00
Last column: nearest neighbours and their distance in Å.
Fractional positions:
Pt (0.5000, 0.2500, 0.2500)  4 Sr 2.76-2.97, 4 Tc 2.90, 2 Pt 2.95
Sr (0.5000, 0.7500, 0.7500)  4 Pt 2.76-2.97, 2 Sr 2.95, 4 Tc 3.08
Tc (0.0000, 0.0888, 0.0086)  2 Tc 2.63-2.64, 2 Pt 2.90
Tc (0.0000, 0.4112, 0.4914)  2 Tc 2.63-2.64, 2 Pt 2.90

Properties
The calculation puts the calculated density at 10.7 g/cm³. The value obtained for the volume is 18.6 Å³ per atom.


Most stable to least stable, the ends of the list are run c and run a.